MgAg2Sb after structural relaxation, computed with PBE.

Results
For the magnetization, the calculation gives 0.000 Bohr magnetons per cell. As for the density: 7.29 Mg/m³. As for the raw formation energy: -30 kJ/mol of formula units. The total DFT energy (no corrections) comes out at -2.93 eV per atom.

CIF file:
```
data_MgAg2Sb
_space_group_name_H-M_alt 'P m m m'
_space_group_IT_number 47
_cell_length_a 3.367
_cell_length_b 4.099
_cell_length_c 5.974
_cell_angle_alpha 90.00
_cell_angle_beta 90.00
_cell_angle_gamma 90.00
loop_
_space_group_symop_operation_xyz
'x,y,z'
'-x,-y,-z'
'-x,-y,z'
'x,y,-z'
'x,-y,-z'
'-x,y,z'
'-x,y,-z'
'x,-y,z'
loop_
_atom_site_label
_atom_site_type_symbol
_atom_site_fract_x
_atom_site_fract_y
_atom_site_fract_z
Mg1 Mg 0.000 0.000 0.000
Ag1 Ag 0.500 0.500 0.236
Sb1 Sb 0.000 0.000 0.500
```